The following is a DFT calculation (PBE) of Nd2Sm3Co2 after structural relaxation.

abc: 6.4336 6.4336 9.1199
angles: 114.75 114.75 33.77
Last column: nearest neighbours and their distance in Å.
Positions (direct):
1 Nd 0.1725 0.1725 0.3041  2 Co 2.79
2 Nd 0.8275 0.8275 0.6959  2 Co 2.79
3 Sm 0.3826 0.3826 0.0769  3 Co 2.79-2.98
4 Sm 0.5000 0.5000 0.5000  4 Co 3.00
5 Sm 0.6174 0.6174 0.9231  3 Co 2.79-2.98
6 Co 0.1783 0.1783 0.7443  2 Nd 2.79, 5 Sm 2.79-3.00
7 Co 0.8217 0.8217 0.2557  2 Nd 2.79, 5 Sm 2.79-3.00

Output
As for the total magnetic moment: 0.00 μB per formula unit. The calculation puts the density of states at the Fermi level at 8.25 states/eV/cell. As for the volume: 27.0 A^3/atom. The total DFT energy (no corrections) comes out at -0.40372 Ry/atom.